Record 1
VASP calculation (PBE) on crystalline Pa3AgSe6 at its relaxed geometry.

Lattice parameters (Å, degrees): 11.2020 13.5449 6.8984 90.00 90.00 90.00
Space group Cmc2_1 (No. 36)
One atom of each set of equivalent atoms:
1 Pa 0.0000 0.1000 0.0000 (multiplicity 4)
2 Pa 0.1720 0.4017 0.1042 (multiplicity 8)
3 Ag 0.0000 0.2904 0.6497 (multiplicity 4)
4 Se 0.0000 0.2684 0.2689 (multiplicity 4)
5 Se 0.0000 0.4738 0.8174 (multiplicity 4)
6 Se 0.1642 0.0387 0.3009 (multiplicity 8)
7 Se 0.1869 0.2254 0.8523 (multiplicity 8)

Values from the calculation:
energy relative to the elements, uncorrected = -1.1474 eV per atom

Record 2
VASP calculation (PBE) on crystalline FeTe at its relaxed geometry.

Lattice parameters (Å, degrees): 5.2034 5.2034 7.5100 90.00 90.00 120.00
Space group P6_3/mmc (No. 194)
One atom of each set of equivalent atoms:
1 Fe 0.3333 0.6667 0.1010 (multiplicity 4)
2 Te 0.0000 0.0000 0.2500 (multiplicity 2)
3 Te 0.3333 0.6667 0.7500 (multiplicity 2)

Values from the calculation:
energy relative to the elements, uncorrected = 0.7620 eV per atom

Record 3
VASP calculation (PBE) on crystalline Pu5Ge at its relaxed geometry.

Lattice parameters (Å, degrees): 3.7665 12.5834 4.8893 90.00 90.00 90.00
Space group Cmmm (No. 65)
One atom of each set of equivalent atoms:
1 Pu 0.0000 0.0000 0.0000 (multiplicity 2)
2 Pu 0.0000 0.1937 0.5000 (multiplicity 4)
3 Pu 0.0000 0.3622 0.0000 (multiplicity 4)
4 Ge 0.0000 0.5000 0.5000 (multiplicity 2)

Values from the calculation:
energy of formation from the pure elements = 15 meV per atom